[1]
Material: BeTePbN2
Method: DFT, PBE
State: optimized geometry

Unit cell a=4.228 b=4.228 c=5.125 alpha=90.00 beta=90.00 gamma=90.00
Last column: magnetic moment on the atom in μB.
Sites, in units of the cell vectors:
Pb 0.500 0.500 0.500  -0.02
Be 0.000 0.000 0.000  -0.02
Te 0.000 0.000 0.500  0.20
N 0.000 0.500 0.000  1.17
N 0.500 0.000 0.000  1.17

As for the energy above the most stable polymorph in this dataset: 0.00 eV per formula unit. As for the calculated total energy: -20.456 eV per cell. Its raw formation energy is 1.35 eV/atom. The value obtained for the calculated volume is 18.326 A^3/atom. The density of states at the Fermi level comes out at 0.44 states/eV/atom.


[2]
Material: ReSi2Ru
Method: DFT, PBE
State: optimized geometry

Unit cell a=2.915 b=4.929 c=3.898 alpha=90.00 beta=90.00 gamma=90.00
Sites, in units of the cell vectors:
Re 0.500 0.000 0.500
Ru 0.000 0.500 0.500
Si 0.000 0.000 0.000
Si 0.500 0.500 0.000

As for the calculated total energy: -32.662 eV per cell. Its raw formation energy is -0.02 eV/atom. The value obtained for the calculated volume is 14.003 A^3/atom. The density of states at the Fermi level comes out at 0.53 states/eV/atom.


Repeat the first record exactly.
Material: BeTePbN2
Method: DFT, PBE
State: optimized geometry

Unit cell a=4.228 b=4.228 c=5.125 alpha=90.00 beta=90.00 gamma=90.00
Last column: magnetic moment on the atom in μB.
Sites, in units of the cell vectors:
Pb 0.500 0.500 0.500  -0.02
Be 0.000 0.000 0.000  -0.02
Te 0.000 0.000 0.500  0.20
N 0.000 0.500 0.000  1.17
N 0.500 0.000 0.000  1.17

As for the energy above the most stable polymorph in this dataset: 0.00 eV per formula unit. As for the calculated total energy: -20.456 eV per cell. Its raw formation energy is 1.35 eV/atom. The value obtained for the calculated volume is 18.326 A^3/atom. The density of states at the Fermi level comes out at 0.44 states/eV/atom.